VASP calculation (GGA-PBE) on CaLa2As3Rh4 after structural relaxation.

Lattice parameters (Å, degrees): 4.1387 4.1387 11.6352 90.00 90.00 90.00
With the nearest neighbours (Å) after each atom.
Space group P-4m2 (No. 115)
Unique sites:
Ca 0.0000 0.0000 0.0000 (multiplicity 1)  4 Rh 2.85, 4 As 2.93
La 0.0000 0.5000 0.7345 (multiplicity 2)  8 Rh 3.13-3.42, 4 As 3.20
As 0.0000 0.5000 0.3770 (multiplicity 2)  5 Rh 2.42-2.52
As 0.5000 0.5000 0.0000 (multiplicity 1)  4 Rh 2.85, 4 Ca 2.93
Rh 0.0000 0.0000 0.5000 (multiplicity 1)  4 As 2.52
Rh 0.0000 0.5000 0.1690 (multiplicity 2)  1 As 2.42
Rh 0.5000 0.5000 0.5000 (multiplicity 1)  4 As 2.52

ρ: 7.95 g/cm3
Density of states at the Fermi level: 3.55 states/eV per cell
Volume: 199 Å³ per cell
DFT formation energy: -0.934 eV/atom
Spin magnetization: 0.00 μB/f.u.